1.
# PBE MgP, optimized geometry
# * formation energy: -1.0 eV per formula unit
data_MgP
_chemical_formula_sum 'Mg4 P4'
_cell_length_a 5.325
_cell_length_b 5.325
_cell_length_c 6.454
_cell_angle_alpha 90.00
_cell_angle_beta 90.00
_cell_angle_gamma 90.00
_symmetry_space_group_name_H-M 'P 42/m n m'
_symmetry_Int_Tables_number 136
_symmetry_space_group_name_Hall '-P 4n 2n'
loop_
_atom_site_label
_atom_site_type_symbol
_atom_site_fract_x
_atom_site_fract_y
_atom_site_fract_z
_atom_site_occupancy
Mg1 Mg 0.000 0.500 0.250 1
P1 P 0.148 0.148 0.000 1


2.
# PBE Li2ThZn2Hg2, optimized geometry
# * formation energy: -1.5 eV per formula unit
data_Li2ThZn2Hg2
_chemical_formula_sum 'Li4 Th2 Zn4 Hg4'
_cell_length_a 8.282
_cell_length_b 4.687
_cell_length_c 7.812
_cell_angle_alpha 90.00
_cell_angle_beta 106.10
_cell_angle_gamma 90.00
_symmetry_space_group_name_H-M 'C 1 2/m 1'
_symmetry_Int_Tables_number 12
loop_
_symmetry_equiv_pos_as_xyz
'x,y,z'
'-x,-y,-z'
'-x,y,-z'
'x,-y,z'
'x+1/2,y+1/2,z'
'-x+1/2,-y+1/2,-z'
'-x+1/2,y+1/2,-z'
'x+1/2,-y+1/2,z'
loop_
_atom_site_label
_atom_site_type_symbol
_atom_site_fract_x
_atom_site_fract_y
_atom_site_fract_z
_atom_site_occupancy
Li1 Li 0.134 0.000 0.425 1
Th1 Th 0.000 0.000 0.000 1
Zn1 Zn 0.093 0.500 0.745 1
Hg1 Hg 0.228 0.500 0.222 1


3.
# PBE AgW, optimized geometry
# * formation energy: 0.7 eV per formula unit
data_AgW
_chemical_formula_sum 'Ag4 W4'
_cell_length_a 3.160
_cell_length_b 4.527
_cell_length_c 9.479
_cell_angle_alpha 90.00
_cell_angle_beta 90.00
_cell_angle_gamma 90.00
_symmetry_space_group_name_H-M 'C m m e'
_symmetry_Int_Tables_number 67
_symmetry_space_group_name_Hall '-C 2a 2'
loop_
_atom_site_label
_atom_site_type_symbol
_atom_site_fract_x
_atom_site_fract_y
_atom_site_fract_z
_atom_site_occupancy
Ag1 Ag 0.000 0.250 0.128 1
W1 W 0.000 0.250 0.616 1